Density functional theory data (PBE) for a relaxed MgFeOs crystal.

As for the total magnetic moment: 0.83 μB/cell. As for the excess energy over the best structure of this formula in the dataset: 159.9 meV per atom. The raw total energy is -40.80 eV/cell.

abc: 2.756 3.481 9.321
angles: 90.00 90.00 90.00
Fractional positions:
Mg (0.000, 0.000, 0.000)
Mg (0.500, 0.500, 0.236)
Fe (0.000, 0.000, 0.413)
Fe (0.000, 0.000, 0.688)
Os (0.500, 0.500, 0.536)
Os (0.500, 0.500, 0.816)